1.
Compound: MnHPtS
Source: the Alexandria database
Functional: PBE
Structure: optimized geometry

Structure (POSCAR):
```
MnHPtS
1.0
2.8620 0.0000 0.0000
0.0000 2.8620 0.0000
0.0000 0.0000 5.7637
Mn H Pt S
1 1 1 1
Direct
0.0000 0.0000 0.0000
0.0000 0.0000 0.3658
0.5000 0.5000 0.3518
0.5000 0.5000 0.7953
```

## Properties
- uncorrected energy (eV for the cell shown) = -23.11
- crystal system = tetragonal
- offset from the most stable computed form (meV/atom) = 0.0

---

2.
Compound: ZnSiCl2
Source: the Alexandria database
Functional: PBE
Structure: optimized geometry

Structure (POSCAR):
```
ZnSiCl2
1.0
1.6823 -3.1194 0.0000
1.6823 3.1194 0.0000
0.0000 0.0000 8.9920
Zn Si Cl
1 1 2
Direct
0.0000 0.0000 0.0000
0.5000 0.5000 0.2045
0.0000 0.0000 0.4021
0.5000 0.5000 0.8222
```

## Properties
- uncorrected energy (eV for the cell shown) = -11.37
- crystal system = orthorhombic
- formation energy from raw total energies (meV per atom) = -245.0
- offset from the most stable computed form (meV/atom) = 75.1

---

3.
Compound: SrZnIr
Source: the Alexandria database
Functional: PBE
Structure: optimized geometry

Structure (POSCAR):
```
SrZnIr
1.0
4.3200 0.0000 0.0000
-2.1600 3.7412 0.0000
0.0000 0.0000 4.3633
Sr Zn Ir
1 1 1
Direct
0.0000 0.0000 0.0000
0.6667 0.3333 0.5000
0.3333 0.6667 0.5000
```

## Properties
- calculated formation energy (eV per atom) = -0.22
- uncorrected energy (eV for the cell shown) = -12.48
- crystal system = hexagonal

---

| no. | DOS(E_F) (states/eV per cell) |
| --- | --- |
| 1 | 1.971 |
| 2 | 0.423 |
| 3 | 1.468 |